A relaxed structure of NdEr2PuO8, computed with PBE.

Results
* ΔE_f (raw): -3064 meV per atom
* DFT total energy: -104.66 eV for the cell shown

abc: 5.097 5.098 7.053
angles: 90.00 90.00 90.08
Site moments in Bohr magnetons follow the coordinates.
Fractional coordinates of all 12 atoms:
Nd  0.000  0.000  0.500  0.00
O  0.188  0.812  0.215  -0.06
O  0.812  0.188  0.785  -0.06
O  0.317  0.317  0.500  -0.01
O  0.720  0.721  0.000  -0.07
O  0.188  0.812  0.785  -0.06
O  0.280  0.279  0.000  -0.07
O  0.812  0.188  0.215  -0.06
Pu  0.000  0.000  0.000  1.46
Er  0.500  0.500  0.742  -0.01
O  0.683  0.683  0.500  -0.01
Er  0.500  0.500  0.258  -0.01